1.
A plane-wave DFT calculation with PBE was carried out for a relaxed Mg2ZnGaAg crystal.

energy of formation from the pure elements: -12.5 kJ/mol of atoms

Lattice parameters (Å, degrees): 6.4887 4.3643 6.8780 90.00 105.88 90.00
Element x y z (fractional)
Mg (0.0268, 0.2500, 0.1776)
Mg (0.3939, 0.7500, 0.6281)
Mg (0.6061, 0.2500, 0.3719)
Mg (0.9732, 0.7500, 0.8224)
Zn (0.0371, 0.2500, 0.6001)
Zn (0.9629, 0.7500, 0.3999)
Ga (0.3311, 0.2500, 0.9423)
Ga (0.6689, 0.7500, 0.0577)
Ag (0.3177, 0.7500, 0.2018)
Ag (0.6823, 0.2500, 0.7982)

---

2.
A plane-wave DFT calculation with PBE was carried out for a relaxed Ga6Pd3Ru crystal.

energy of formation from the pure elements: -29.9 kJ/mol of atoms

Lattice parameters (Å, degrees): 6.5151 6.6405 10.1705 90.00 129.12 90.00
Element x y z (fractional)
Ga (0.0308, 0.0337, 0.2547)
Ga (0.0308, 0.4663, 0.7547)
Ga (0.2168, 0.6576, 0.0608)
Ga (0.2168, 0.8424, 0.5608)
Ga (0.4224, 0.1573, 0.0633)
Ga (0.4224, 0.3427, 0.5633)
Ga (0.5776, 0.6573, 0.4367)
Ga (0.5776, 0.8427, 0.9367)
Ga (0.7832, 0.1576, 0.4392)
Ga (0.7832, 0.3424, 0.9392)
Ga (0.9692, 0.5337, 0.2453)
Ga (0.9692, 0.9663, 0.7453)
Pd (0.0000, 0.0000, 0.0000)
Pd (0.0000, 0.5000, 0.5000)
Pd (0.3040, 0.1616, 0.7454)
Pd (0.3040, 0.3384, 0.2454)
Pd (0.6960, 0.6616, 0.7546)
Pd (0.6960, 0.8384, 0.2546)
Ru (0.5000, 0.0000, 0.5000)
Ru (0.5000, 0.5000, 0.0000)

---

3.
A plane-wave DFT calculation with PBE was carried out for a relaxed La2HfGeN5 crystal.

E_form (uncorrected): -0.953 eV/atom

Lattice parameters (Å, degrees): 7.5427 7.5427 10.3939 90.00 90.00 154.22
Element x y z (fractional)
La (0.1130, 0.8870, 0.5000)
La (0.1278, 0.8722, 0.1294)
La (0.8722, 0.1278, 0.6294)
La (0.8870, 0.1130, 0.0000)
Hf (0.2124, 0.7876, 0.8353)
Hf (0.7876, 0.2124, 0.3353)
Ge (0.4494, 0.5506, 0.2665)
Ge (0.5506, 0.4494, 0.7665)
N (0.0465, 0.9535, 0.8609)
N (0.2903, 0.7097, 0.4724)
N (0.3225, 0.6775, 0.2024)
N (0.3506, 0.6494, 0.8235)
N (0.4976, 0.5024, 0.6060)
N (0.5024, 0.4976, 0.1060)
N (0.6494, 0.3506, 0.3235)
N (0.6775, 0.3225, 0.7024)
N (0.7097, 0.2903, 0.9724)
N (0.9535, 0.0465, 0.3609)

---

4.
A plane-wave DFT calculation with PBE was carried out for a relaxed CaCrFeRh2 crystal.

energy of formation from the pure elements: 36.3 kJ/mol of atoms

Lattice parameters (Å, degrees): 4.6557 4.6557 4.3321 90.00 90.00 90.00
Element x y z (fractional)
Ca (0.0000, 0.0000, 0.0000)
Cr (0.5000, 0.5000, 0.0000)
Fe (0.5000, 0.5000, 0.5000)
Rh (0.0000, 0.5000, 0.5000)
Rh (0.5000, 0.0000, 0.5000)

---

5.
A plane-wave DFT calculation with PBE was carried out for a relaxed Y2MnIr crystal.

energy of formation from the pure elements: -26.4 kJ/mol of atoms

Lattice parameters (Å, degrees): 6.0363 6.0363 6.0363 146.48 133.37 58.64
Element x y z (fractional)
Y (0.0000, 0.0000, 0.0000)
Y (0.7125, 0.2125, 0.5000)
Mn (0.4159, 0.4159, 0.0000)
Ir (0.2370, 0.7370, 0.5000)

---

6.
A plane-wave DFT calculation with PBE was carried out for a relaxed LaNd5Sm3 crystal.

energy of formation from the pure elements: 35.9 kJ/mol of atoms

Lattice parameters (Å, degrees): 9.5574 9.5574 12.6918 127.20 127.20 52.56
Element x y z (fractional)
La (0.2415, 0.2415, 0.1368)
La (0.7585, 0.7585, 0.8632)
Nd (0.1342, 0.7431, 0.2268)
Nd (0.1389, 0.1389, 0.5825)
Nd (0.2569, 0.8658, 0.7732)
Nd (0.3094, 0.3094, 0.9463)
Nd (0.3166, 0.6834, 0.0000)
Nd (0.6834, 0.3166, 0.0000)
Nd (0.6906, 0.6906, 0.0537)
Nd (0.7431, 0.1342, 0.2268)
Nd (0.8611, 0.8611, 0.4175)
Nd (0.8658, 0.2569, 0.7732)
Sm (0.0000, 0.0000, 0.0000)
Sm (0.1841, 0.1841, 0.3501)
Sm (0.3974, 0.3974, 0.6927)
Sm (0.5000, 0.5000, 0.5000)
Sm (0.6026, 0.6026, 0.3073)
Sm (0.8159, 0.8159, 0.6499)

---

The following M_tot values (in μB per formula unit) correspond, in order, to the records above: 0.00, 0.00, 0.00, 0.69, 3.31, 0.00.
The following calculated total energy values (in eV per atom) correspond, in order, to the records above: -2.198, -4.611, -8.293, -6.581, -8.013, -4.397.